a.
# AlTc2Pt (PBEsol, optimized geometry)
# DOS(E_F) = 1.13 states/eV per atom
# size of the total moment = 0.0003 μB per atom
# calculated density = 12230 kg/m³
data_AlTc2Pt
_chemical_formula_sum 'Al1 Tc2 Pt1'
_symmetry_space_group_name_H-M 'P 4/m m m'
_symmetry_Int_Tables_number 123
_symmetry_space_group_name_Hall '-P 4 2'
_cell_length_a 3.648
_cell_length_b 3.648
_cell_length_c 4.265
_cell_angle_alpha 90.00
_cell_angle_beta 90.00
_cell_angle_gamma 90.00
loop_
_atom_site_label
_atom_site_type_symbol
_atom_site_fract_x
_atom_site_fract_y
_atom_site_fract_z
_atom_site_occupancy
Al1 Al 0.000 0.000 0.000 1
Tc1 Tc 0.000 0.500 0.500 1
Pt1 Pt 0.500 0.500 0.000 1

***

b.
# AlTc2Pt (PBEsol, optimized geometry)
# DOS(E_F) = 0.82 states/eV per atom
# size of the total moment = 0.0000 μB per atom
# calculated density = 12184 kg/m³
data_AlTc2Pt
_chemical_formula_sum 'Al2 Tc4 Pt2'
_symmetry_space_group_name_H-M 'C 1 m 1'
_symmetry_Int_Tables_number 8
_cell_length_a 8.799
_cell_length_b 2.719
_cell_length_c 4.811
_cell_angle_alpha 90.00
_cell_angle_beta 98.06
_cell_angle_gamma 90.00
loop_
_symmetry_equiv_pos_as_xyz
'x,y,z'
'x,-y,z'
'x+1/2,y+1/2,z'
'x+1/2,-y+1/2,z'
loop_
_atom_site_label
_atom_site_type_symbol
_atom_site_fract_x
_atom_site_fract_y
_atom_site_fract_z
_atom_site_occupancy
Al1 Al 0.000 0.000 0.000 1
Tc1 Tc 0.006 0.500 0.489 1
Tc2 Tc 0.255 0.500 0.298 1
Pt1 Pt 0.254 0.000 0.799 1

***

The data favor b; the next most stable structure lies 3.3 kJ/mol of atoms above it.

***

a.
# AlTc2Pt (PBEsol, optimized geometry)
# DOS(E_F) = 0.93 states/eV per atom
# size of the total moment = 0.0000 μB per atom
# calculated density = 12254 kg/m³
data_AlTc2Pt
_chemical_formula_sum 'Al2 Tc4 Pt2'
_symmetry_space_group_name_H-M 'C 1 2/m 1'
_symmetry_Int_Tables_number 12
_cell_length_a 9.208
_cell_length_b 2.747
_cell_length_c 4.549
_cell_angle_alpha 90.00
_cell_angle_beta 100.05
_cell_angle_gamma 90.00
loop_
_symmetry_equiv_pos_as_xyz
'x,y,z'
'-x,-y,-z'
'-x,y,-z'
'x,-y,z'
'x+1/2,y+1/2,z'
'-x+1/2,-y+1/2,-z'
'-x+1/2,y+1/2,-z'
'x+1/2,-y+1/2,z'
loop_
_atom_site_label
_atom_site_type_symbol
_atom_site_fract_x
_atom_site_fract_y
_atom_site_fract_z
_atom_site_occupancy
Al1 Al 0.000 0.000 0.000 1
Tc1 Tc 0.248 0.000 0.755 1
Pt1 Pt 0.000 0.500 0.500 1

***

b.
# AlTc2Pt (PBEsol, optimized geometry)
# DOS(E_F) = 1.13 states/eV per atom
# size of the total moment = 0.0003 μB per atom
# calculated density = 12117 kg/m³
data_AlTc2Pt
_chemical_formula_sum 'Al1 Tc2 Pt1'
_symmetry_space_group_name_H-M 'P 4/m m m'
_symmetry_Int_Tables_number 123
_symmetry_space_group_name_Hall '-P 4 2'
_cell_length_a 4.586
_cell_length_b 4.586
_cell_length_c 2.724
_cell_angle_alpha 90.00
_cell_angle_beta 90.00
_cell_angle_gamma 90.00
loop_
_atom_site_label
_atom_site_type_symbol
_atom_site_fract_x
_atom_site_fract_y
_atom_site_fract_z
_atom_site_occupancy
Al1 Al 0.000 0.000 0.000 1
Tc1 Tc 0.000 0.500 0.500 1
Pt1 Pt 0.500 0.500 0.000 1

***

The data favor a; the next most stable structure lies 19.2 kJ/mol of atoms above it.